Record 1
Computed, not measured: crystalline NdAl2SiPd2 at its relaxed geometry at the GGA-PBE level of DFT.

Calculated values
As for the formation energy without anion corrections: -553 meV per atom. The value obtained for the theoretical density is 6.16 g/cm3.

abc: 4.5805 4.5805 5.6430
angles: 90.00 90.00 90.00
Space group P4/mmm (No. 123)
Symmetry-distinct sites (fractional):
Nd  0.0000  0.0000  0.0000 x1
Al  0.5000  0.5000  0.2351 x2
Si  0.0000  0.0000  0.5000 x1
Pd  0.0000  0.5000  0.5000 x2



Record 2
Computed, not measured: crystalline NdAlSi2Pd5 at its relaxed geometry at the GGA-PBE level of DFT.

Calculated values
As for the formation energy without anion corrections: -613 meV per atom. The value obtained for the theoretical density is 7.32 g/cm3.

abc: 4.1102 4.1102 10.1949
angles: 90.00 90.00 90.00
Space group P4/mmm (No. 123)
Symmetry-distinct sites (fractional):
Nd  0.0000  0.0000  0.0000 x1
Al  0.0000  0.0000  0.5000 x1
Si  0.5000  0.5000  0.2286 x2
Pd  0.0000  0.5000  0.3493 x4
Pd  0.5000  0.5000  0.0000 x1



Record 3
Computed, not measured: crystalline Nd2AlSi3Pd4 at its relaxed geometry at the GGA-PBE level of DFT.

Calculated values
As for the formation energy without anion corrections: -919 meV per atom. The value obtained for the theoretical density is 7.48 g/cm3.

abc: 4.2604 4.2604 10.0956
angles: 90.00 90.00 90.00
Space group P-4m2 (No. 115)
Symmetry-distinct sites (fractional):
Nd  0.0000  0.5000  0.2495 x2
Al  0.0000  0.0000  0.5000 x1
Si  0.0000  0.5000  0.8722 x2
Si  0.5000  0.5000  0.5000 x1
Pd  0.0000  0.0000  0.0000 x1
Pd  0.0000  0.5000  0.6314 x2
Pd  0.5000  0.5000  0.0000 x1



Record 4
Computed, not measured: crystalline Nd2Al4SiPd3 at its relaxed geometry at the GGA-PBE level of DFT.

Calculated values
As for the formation energy without anion corrections: -769 meV per atom. The value obtained for the theoretical density is 6.39 g/cm3.

abc: 4.3221 4.3221 10.3388
angles: 90.00 90.00 90.00
Space group P-4m2 (No. 115)
Symmetry-distinct sites (fractional):
Nd  0.0000  0.5000  0.2462 x2
Al  0.0000  0.0000  0.5000 x1
Al  0.0000  0.5000  0.8658 x2
Al  0.5000  0.5000  0.5000 x1
Si  0.5000  0.5000  0.0000 x1
Pd  0.0000  0.0000  0.0000 x1
Pd  0.0000  0.5000  0.6279 x2



no.,N(E_F) (states/eV/f.u.)
1,3.10
2,4.46
3,5.37
4,7.91